*i*
TbY2Cd: relaxed, PBE-GGA.

Lattice parameters (Å, degrees): 3.6265 3.6265 32.1686 90.00 90.00 120.00
Sites, in units of the cell vectors:
Tb (0.0000, 0.0000, 0.0000)
Tb (0.3333, 0.6667, 0.6667)
Tb (0.6667, 0.3333, 0.3333)
Y (0.0000, 0.0000, 0.5772)
Y (0.0000, 0.0000, 0.7560)
Y (0.3333, 0.6667, 0.2439)
Y (0.3333, 0.6667, 0.4227)
Y (0.6667, 0.3333, 0.0894)
Y (0.6667, 0.3333, 0.9105)
Cd (0.0000, 0.0000, 0.1664)
Cd (0.3333, 0.6667, 0.8331)
Cd (0.6667, 0.3333, 0.4997)

*ii*
TbY2Cd: relaxed, PBE-GGA.

Lattice parameters (Å, degrees): 4.8779 4.8779 4.8487 90.00 90.00 90.00
Sites, in units of the cell vectors:
Tb (0.0000, 0.0000, 0.0000)
Y (0.0000, 0.5000, 0.5000)
Y (0.5000, 0.0000, 0.5000)
Cd (0.5000, 0.5000, 0.0000)

Which of them is the most stable, and which is the least stable? *ii* and *i*, in that order.

*i*
Tb2YCd2: relaxed, PBE-GGA.

Lattice parameters (Å, degrees): 5.1903 5.1903 6.3986 90.00 90.00 120.00
Sites, in units of the cell vectors:
Tb (0.3333, 0.6667, 0.1505)
Tb (0.6667, 0.3333, 0.8495)
Y (0.0000, 0.0000, 0.5000)
Cd (0.3333, 0.6667, 0.6537)
Cd (0.6667, 0.3333, 0.3463)

*ii*
Tb2YCd2: relaxed, PBE-GGA.

Lattice parameters (Å, degrees): 3.7371 5.3496 13.9221 90.00 97.73 90.00
Sites, in units of the cell vectors:
Tb (0.0458, 0.2500, 0.0905)
Tb (0.2352, 0.2500, 0.4713)
Tb (0.7648, 0.7500, 0.5287)
Tb (0.9542, 0.7500, 0.9095)
Y (0.1491, 0.7500, 0.2971)
Y (0.8509, 0.2500, 0.7029)
Cd (0.3594, 0.7500, 0.7190)
Cd (0.4477, 0.2500, 0.8961)
Cd (0.5523, 0.7500, 0.1039)
Cd (0.6406, 0.2500, 0.2810)

Which of them is the most stable, and which is the least stable? *ii* and *i*, in that order.

*i*
Tb2Y6Cd: relaxed, PBE-GGA.

Lattice parameters (Å, degrees): 9.5674 9.5674 9.5674 158.66 115.91 68.38
Sites, in units of the cell vectors:
Tb (0.1491, 0.1491, 0.0000)
Tb (0.8509, 0.8509, 0.0000)
Y (0.1597, 0.8209, 0.3388)
Y (0.2114, 0.5000, 0.7114)
Y (0.4821, 0.8209, 0.6612)
Y (0.5179, 0.1791, 0.3388)
Y (0.7886, 0.5000, 0.2886)
Y (0.8403, 0.1791, 0.6612)
Cd (0.5000, 0.0000, 0.5000)

*ii*
Tb2Y6Cd: relaxed, PBE-GGA.

Lattice parameters (Å, degrees): 9.4575 9.4575 3.6226 90.00 90.00 120.00
Sites, in units of the cell vectors:
Tb (0.3333, 0.6667, 0.0000)
Tb (0.6667, 0.3333, 0.0000)
Y (0.0000, 0.3800, 0.5000)
Y (0.0000, 0.7226, 0.0000)
Y (0.2774, 0.2774, 0.0000)
Y (0.3800, 0.0000, 0.5000)
Y (0.6200, 0.6200, 0.5000)
Y (0.7226, 0.0000, 0.0000)
Cd (0.0000, 0.0000, 0.5000)

Which of them is the most stable, and which is the least stable? *ii* and *i*, in that order.

*i*
Tb3Y2Cd2: relaxed, PBE-GGA.

Lattice parameters (Å, degrees): 5.0826 22.8514 3.4780 90.00 90.00 90.00
Sites, in units of the cell vectors:
Tb (0.0000, 0.0000, 0.0000)
Tb (0.0000, 0.1455, 0.0000)
Tb (0.0000, 0.8545, 0.0000)
Tb (0.5000, 0.3545, 0.0000)
Tb (0.5000, 0.5000, 0.0000)
Tb (0.5000, 0.6455, 0.0000)
Y (0.0000, 0.2902, 0.5000)
Y (0.0000, 0.7098, 0.5000)
Y (0.5000, 0.2098, 0.5000)
Y (0.5000, 0.7902, 0.5000)
Cd (0.0000, 0.4316, 0.5000)
Cd (0.0000, 0.5684, 0.5000)
Cd (0.5000, 0.0684, 0.5000)
Cd (0.5000, 0.9316, 0.5000)

*ii*
Tb3Y2Cd2: relaxed, PBE-GGA.

Lattice parameters (Å, degrees): 8.5692 8.5692 8.5692 36.69 36.69 36.69
Sites, in units of the cell vectors:
Tb (0.0000, 0.0000, 0.0000)
Tb (0.1570, 0.1570, 0.1570)
Tb (0.8430, 0.8430, 0.8430)
Y (0.4254, 0.4254, 0.4254)
Y (0.5746, 0.5746, 0.5746)
Cd (0.2885, 0.2885, 0.2885)
Cd (0.7115, 0.7115, 0.7115)

Which of them is the most stable, and which is the least stable? *ii* and *i*, in that order.

*i*
Tb3YCd2: relaxed, PBE-GGA.

Lattice parameters (Å, degrees): 5.2432 9.4416 6.9244 90.00 90.00 90.00
Sites, in units of the cell vectors:
Tb (0.0000, 0.0460, 0.0000)
Tb (0.0000, 0.3224, 0.3381)
Tb (0.0000, 0.6776, 0.8381)
Tb (0.0000, 0.9540, 0.5000)
Tb (0.5000, 0.1769, 0.6980)
Tb (0.5000, 0.8231, 0.1980)
Y (0.5000, 0.4550, 0.0364)
Y (0.5000, 0.5450, 0.5364)
Cd (0.0000, 0.3512, 0.7920)
Cd (0.0000, 0.6488, 0.2920)
Cd (0.5000, 0.1501, 0.2442)
Cd (0.5000, 0.8499, 0.7442)

*ii*
Tb3YCd2: relaxed, PBE-GGA.

Lattice parameters (Å, degrees): 3.6829 3.6829 12.6616 90.00 90.00 90.00
Sites, in units of the cell vectors:
Tb (0.0000, 0.0000, 0.0000)
Tb (0.0000, 0.0000, 0.3057)
Tb (0.0000, 0.0000, 0.6943)
Y (0.5000, 0.5000, 0.5000)
Cd (0.5000, 0.5000, 0.1521)
Cd (0.5000, 0.5000, 0.8479)

Which of them is the most stable, and which is the least stable? *i* and *ii*, in that order.

*i*
Tb4YCd: relaxed, PBE-GGA.

Lattice parameters (Å, degrees): 3.5770 3.5770 14.1915 90.00 90.00 90.00
Sites, in units of the cell vectors:
Tb (0.0000, 0.0000, 0.1466)
Tb (0.0000, 0.0000, 0.8534)
Tb (0.5000, 0.5000, 0.3219)
Tb (0.5000, 0.5000, 0.6781)
Y (0.0000, 0.0000, 0.5000)
Cd (0.5000, 0.5000, 0.0000)

*ii*
Tb4YCd: relaxed, PBE-GGA.

Lattice parameters (Å, degrees): 10.7796 10.7796 6.5068 90.00 90.00 150.18
Sites, in units of the cell vectors:
Tb (0.0382, 0.9618, 0.5000)
Tb (0.1810, 0.8190, 0.3206)
Tb (0.2485, 0.7515, 0.7898)
Tb (0.3644, 0.6356, 0.1702)
Tb (0.6356, 0.3644, 0.6702)
Tb (0.7515, 0.2485, 0.2898)
Tb (0.8190, 0.1810, 0.8206)
Tb (0.9618, 0.0382, 0.0000)
Y (0.4375, 0.5625, 0.6759)
Y (0.5625, 0.4375, 0.1759)
Cd (0.1045, 0.8955, 0.9234)
Cd (0.8955, 0.1045, 0.4234)

Which of them is the most stable, and which is the least stable? *i* and *ii*, in that order.

*i*
Tb2Y8Cd: relaxed, PBE-GGA.

Lattice parameters (Å, degrees): 10.0995 10.0995 6.4444 94.74 94.74 32.04
Sites, in units of the cell vectors:
Tb (0.2428, 0.2428, 0.3349)
Tb (0.7572, 0.7572, 0.6651)
Y (0.0446, 0.0446, 0.2620)
Y (0.1545, 0.1545, 0.8044)
Y (0.3399, 0.3399, 0.8747)
Y (0.4219, 0.4219, 0.3993)
Y (0.5781, 0.5781, 0.6007)
Y (0.6601, 0.6601, 0.1253)
Y (0.8455, 0.8455, 0.1956)
Y (0.9554, 0.9554, 0.7380)
Cd (0.5000, 0.5000, 0.0000)

*ii*
Tb2Y8Cd: relaxed, PBE-GGA.

Lattice parameters (Å, degrees): 9.8412 9.8412 5.7215 91.78 91.78 40.63
Sites, in units of the cell vectors:
Tb (0.2194, 0.2194, 0.2587)
Tb (0.7806, 0.7806, 0.7413)
Y (0.0501, 0.0501, 0.2340)
Y (0.1129, 0.6363, 0.2552)
Y (0.3250, 0.3250, 0.7662)
Y (0.3637, 0.8871, 0.7448)
Y (0.6363, 0.1129, 0.2552)
Y (0.6750, 0.6750, 0.2338)
Y (0.8871, 0.3637, 0.7448)
Y (0.9499, 0.9499, 0.7660)
Cd (0.5000, 0.5000, 0.0000)

Which of them is the most stable, and which is the least stable? *i* and *ii*, in that order.

*i*
Tb2ZnCd2: relaxed, PBE-GGA.

Lattice parameters (Å, degrees): 3.5518 20.4586 3.4812 90.00 90.00 90.00
Sites, in units of the cell vectors:
Tb (0.0000, 0.0877, 0.0000)
Tb (0.0000, 0.9123, 0.0000)
Tb (0.5000, 0.4123, 0.0000)
Tb (0.5000, 0.5877, 0.0000)
Zn (0.0000, 0.5000, 0.5000)
Zn (0.5000, 0.0000, 0.5000)
Cd (0.0000, 0.3072, 0.5000)
Cd (0.0000, 0.6928, 0.5000)
Cd (0.5000, 0.1928, 0.5000)
Cd (0.5000, 0.8072, 0.5000)

*ii*
Tb2ZnCd2: relaxed, PBE-GGA.

Lattice parameters (Å, degrees): 5.9249 5.9249 10.7690 112.09 112.09 46.24
Sites, in units of the cell vectors:
Tb (0.0313, 0.0313, 0.3442)
Tb (0.1833, 0.1833, 0.1009)
Tb (0.8167, 0.8167, 0.8991)
Tb (0.9687, 0.9687, 0.6558)
Zn (0.2709, 0.2709, 0.6650)
Zn (0.7291, 0.7291, 0.3350)
Cd (0.3574, 0.3574, 0.4254)
Cd (0.4779, 0.4779, 0.1244)
Cd (0.5221, 0.5221, 0.8756)
Cd (0.6426, 0.6426, 0.5746)

Which of them is the most stable, and which is the least stable? *ii* and *i*, in that order.